[1]
Entry from Alexandria via LeMat-Bulk: an optimized crystal structure of K2LiTl6Sn (PBE).

Lattice parameters (Å, degrees): 8.0283 7.7272 7.7100 60.30 60.87 89.87
Sites, in units of the cell vectors:
K: 0.0687 0.6912 0.6208
K: 0.9313 0.3088 0.3792
Li: 0.5000 0.5000 0.0000
Tl: 0.3646 0.8488 0.8005
Tl: 0.6352 0.8350 0.0128
Tl: 0.3644 0.3519 0.4849
Tl: 0.6354 0.1512 0.1995
Tl: 0.3648 0.1650 0.9872
Tl: 0.6356 0.6481 0.5151
Sn: 0.0000 0.0000 0.0000

Calculated values
SG = P-1 (2)
Energy of formation = -60.6 meV per atom
Fermi-level density of states = 5.211 states/eV/cell



[2]
Entry from Alexandria via LeMat-Bulk: an optimized crystal structure of Nd3Ga (PBE).

Lattice parameters (Å, degrees): 6.3007 9.3371 9.3371 83.46 70.28 70.28
Sites, in units of the cell vectors:
Nd: 0.3548 0.9588 0.8020
Nd: 0.1156 0.0412 0.1980
Nd: 0.8432 0.8020 0.0412
Nd: 0.6864 0.1980 0.9588
Nd: 0.5516 0.3272 0.5979
Nd: 0.4767 0.6728 0.4021
Nd: 0.8505 0.5979 0.6728
Nd: 0.1212 0.4021 0.3272
Nd: 0.9555 0.9581 0.6115
Nd: 0.5252 0.0419 0.3885
Nd: 0.4329 0.6115 0.0419
Nd: 0.0863 0.3885 0.9581
Ga: 0.0695 0.2495 0.6511
Ga: 0.9701 0.7505 0.3489
Ga: 0.2794 0.6511 0.7505
Ga: 0.6811 0.3489 0.2495

Calculated values
SG = I-4 (82)
Energy of formation = -254.6 meV per atom
Fermi-level density of states = 23.668 states/eV/cell
Polymorph energy (0 for the lowest one) = 0.0 meV per atom